[1]
DFT (GGA-PBE) results for Pm2Th2Sn after structural relaxation.

CIF file:
```
data_Pm2Th2Sn
_chemical_formula_sum 'Pm4 Th4 Sn2'
_cell_length_a 4.468
_cell_length_b 4.468
_cell_length_c 17.123
_cell_angle_alpha 90.00
_cell_angle_beta 90.00
_cell_angle_gamma 90.00
_symmetry_space_group_name_H-M 'I 4/m m m'
_symmetry_Int_Tables_number 139
_symmetry_space_group_name_Hall '-I 4 2'
loop_
_atom_site_label
_atom_site_fract_x
_atom_site_fract_y
_atom_site_fract_z
Pm1 0.000 0.000 0.086
Th1 0.000 0.500 0.250
Sn1 0.000 0.000 0.500
```

Summary:
calculated formation energy = 0.28 eV per atom

***

[2]
DFT (GGA-PBE) results for SrCaAu2 after structural relaxation.

CIF file:
```
data_SrCaAu2
_chemical_formula_sum 'Sr3 Ca3 Au6'
_cell_length_a 4.3243
_cell_length_b 4.3243
_cell_length_c 22.5543
_cell_angle_alpha 90.00
_cell_angle_beta 90.00
_cell_angle_gamma 120.00
_symmetry_space_group_name_H-M 'R 3 m'
_symmetry_Int_Tables_number 160
_symmetry_space_group_name_Hall 'R 3 -2"'
loop_
_atom_site_label
_atom_site_fract_x
_atom_site_fract_y
_atom_site_fract_z
Sr1 0.0000 0.0000 0.0000
Ca1 0.0000 0.0000 0.1728
Au1 0.0000 0.0000 0.5814
Au2 0.0000 0.0000 0.7583
```

Summary:
calculated formation energy = -0.65 eV per atom

***

[3]
DFT (GGA-PBE) results for SrCuH2Pd after structural relaxation.

CIF file:
```
data_SrCuH2Pd
_chemical_formula_sum 'Sr1 Cu1 H2 Pd1'
_cell_length_a 3.884
_cell_length_b 3.884
_cell_length_c 6.119
_cell_angle_alpha 90.00
_cell_angle_beta 90.00
_cell_angle_gamma 90.00
_symmetry_space_group_name_H-M 'P 4/m m m'
_symmetry_Int_Tables_number 123
_symmetry_space_group_name_Hall '-P 4 2'
loop_
_atom_site_label
_atom_site_fract_x
_atom_site_fract_y
_atom_site_fract_z
Sr1 0.000 0.000 0.000
Cu1 0.000 0.000 0.500
H1 0.000 0.500 0.500
Pd1 0.500 0.500 0.000
```

Summary:
uncorrected energy = -15.2 eV for the cell shown

***

[4]
DFT (GGA-PBE) results for La2SmY2Mg5 after structural relaxation.

CIF file:
```
data_La2SmY2Mg5
_chemical_formula_sum 'La4 Sm2 Y4 Mg10'
_cell_length_a 10.741
_cell_length_b 10.741
_cell_length_c 5.137
_cell_angle_alpha 90.00
_cell_angle_beta 90.00
_cell_angle_gamma 90.00
_symmetry_space_group_name_H-M 'P 4/m b m'
_symmetry_Int_Tables_number 127
_symmetry_space_group_name_Hall '-P 4 2ab'
loop_
_atom_site_label
_atom_site_fract_x
_atom_site_fract_y
_atom_site_fract_z
La1 0.176 0.324 0.000
Sm1 0.000 0.000 0.000
Y1 0.121 0.621 0.000
Mg1 0.000 0.500 0.500
Mg2 0.071 0.801 0.500
```

Summary:
calculated formation energy = 0.00 eV per atom

***

| no. | DOS at the Fermi energy (states/eV/f.u.) |
| --- | --- |
| 1 | 6.81 |
| 2 | 3.08 |
| 3 | 2.23 |
| 4 | 7.15 |